Record 1
{
  "formula": "K3BaSi",
  "functional": "GGA-PBE",
  "state": "relaxed",
  "crystal_system": "cubic",
  "spacegroup": "Pm-3m, No. 221",
  "final_energy_ev_per_atom": -1.00,
  "vol_a3_per_fu": 514.9,
  "e_above_lowest_polymorph_mev_per_atom": 743,
  "lattice_angstrom": [[8.0151, 0.0000, 0.0000], [0.0000, 8.0151, 0.0000], [0.0000, 0.0000, 8.0151]],
  "species": ["K", "K", "K", "Ba", "Si"],
  "frac_coords": [[0.0000, 0.0000, 0.5000], [0.0000, 0.5000, 0.0000], [0.5000, 0.0000, 0.0000], [0.0000, 0.0000, 0.0000], [0.5000, 0.5000, 0.5000]]
}

---

Record 2
{
  "formula": "TlPtI4",
  "functional": "GGA-PBE",
  "state": "relaxed",
  "crystal_system": "monoclinic",
  "spacegroup": "P2/m, No. 10",
  "final_energy_ev_per_atom": -2.63,
  "vol_a3_per_fu": 252.2,
  "e_above_lowest_polymorph_mev_per_atom": 3,
  "lattice_angstrom": [[6.8585, 0.0000, 0.0000], [0.0000, 4.2468, 0.0000], [-0.0123, 0.0000, 8.6598]],
  "species": ["Tl", "Pt", "I", "I", "I", "I"],
  "frac_coords": [[0.0000, 0.0000, 0.0000], [0.0000, 0.5000, 0.5000], [0.2177, 0.0000, 0.3710], [0.2476, 0.5000, 0.7418], [0.7524, 0.5000, 0.2582], [0.7823, 0.0000, 0.6290]]
}

---

Record 3
{
  "formula": "La4Tb4Nd3",
  "functional": "GGA-PBE",
  "state": "relaxed",
  "crystal_system": "orthorhombic",
  "spacegroup": "Immm, No. 71",
  "final_energy_ev_per_atom": -4.65,
  "vol_a3_per_fu": 393.8,
  "ef_ev_per_atom": 0.123,
  "e_above_lowest_polymorph_mev_per_atom": 0,
  "lattice_angstrom": [[-1.8175, 4.7890, 11.3118], [1.8175, -4.7890, 11.3118], [1.8175, 4.7890, -11.3118]],
  "species": ["La", "La", "La", "La", "Tb", "Tb", "Tb", "Tb", "Nd", "Nd", "Nd"],
  "frac_coords": [[0.0237, 0.8537, 0.1699], [0.3162, 0.1463, 0.1699], [0.6838, 0.8537, 0.8301], [0.9763, 0.1463, 0.8301], [0.2632, 0.7632, 0.5000], [0.3166, 0.0000, 0.3166], [0.6834, 0.0000, 0.6834], [0.7368, 0.2368, 0.5000], [0.0000, 0.5000, 0.5000], [0.3938, 0.3938, 0.0000], [0.6062, 0.6062, 0.0000]]
}

---

Record 4
{
  "formula": "Ho3Sc2Co2",
  "functional": "GGA-PBE",
  "state": "relaxed",
  "crystal_system": "monoclinic",
  "spacegroup": "C2/m, No. 12",
  "final_energy_ev_per_atom": -5.99,
  "vol_a3_per_fu": 157.0,
  "ef_ev_per_atom": -0.185,
  "lattice_angstrom": [[11.5130, 0.0000, 0.0000], [0.0000, 3.5538, 0.0000], [-3.6041, 0.0000, 7.6756]],
  "species": ["Ho", "Ho", "Ho", "Ho", "Ho", "Ho", "Sc", "Sc", "Sc", "Sc", "Co", "Co", "Co", "Co"],
  "frac_coords": [[0.0000, 0.0000, 0.0000], [0.1150, 0.0000, 0.4298], [0.3850, 0.5000, 0.5702], [0.5000, 0.5000, 0.0000], [0.6150, 0.5000, 0.4298], [0.8850, 0.0000, 0.5702], [0.1745, 0.5000, 0.8155], [0.3255, 0.0000, 0.1845], [0.6745, 0.0000, 0.8155], [0.8255, 0.5000, 0.1845], [0.1870, 0.5000, 0.2340], [0.3130, 0.0000, 0.7660], [0.6870, 0.0000, 0.2340], [0.8130, 0.5000, 0.7660]]
}

---

Record 5
{
  "formula": "Mg3ZnGa3Pd2",
  "functional": "GGA-PBE",
  "state": "relaxed",
  "crystal_system": "hexagonal",
  "spacegroup": "P-62m, No. 189",
  "final_energy_ev_per_atom": -3.18,
  "vol_a3_per_fu": 149.7,
  "ef_ev_per_atom": -0.347,
  "lattice_angstrom": [[7.5763, 0.0000, 0.0000], [-3.7882, 6.5613, 0.0000], [0.0000, 0.0000, 3.0124]],
  "species": ["Mg", "Mg", "Mg", "Zn", "Ga", "Ga", "Ga", "Pd", "Pd"],
  "frac_coords": [[0.0000, 0.7019, 0.0000], [0.2981, 0.2981, 0.0000], [0.7019, 0.0000, 0.0000], [0.0000, 0.0000, 0.5000], [0.0000, 0.3682, 0.5000], [0.3682, 0.0000, 0.5000], [0.6318, 0.6318, 0.5000], [0.3333, 0.6667, 0.0000], [0.6667, 0.3333, 0.0000]]
}

---

Record 6
{
  "formula": "Ho5Ge",
  "functional": "GGA-PBE",
  "state": "relaxed",
  "crystal_system": "orthorhombic",
  "spacegroup": "Cmmm, No. 65",
  "final_energy_ev_per_atom": -4.77,
  "vol_a3_per_fu": 163.9,
  "ef_ev_per_atom": -0.189,
  "lattice_angstrom": [[4.6846, 0.0000, 0.0000], [0.0000, 14.6632, 0.0000], [0.0000, 0.0000, 4.7712]],
  "species": ["Ho", "Ho", "Ho", "Ho", "Ho", "Ho", "Ho", "Ho", "Ho", "Ho", "Ge", "Ge"],
  "frac_coords": [[0.0000, 0.0000, 0.0000], [0.0000, 0.1581, 0.5000], [0.0000, 0.3348, 0.0000], [0.0000, 0.6652, 0.0000], [0.0000, 0.8419, 0.5000], [0.5000, 0.1652, 0.0000], [0.5000, 0.3419, 0.5000], [0.5000, 0.5000, 0.0000], [0.5000, 0.6581, 0.5000], [0.5000, 0.8348, 0.0000], [0.0000, 0.5000, 0.5000], [0.5000, 0.0000, 0.5000]]
}

---

Record 7
{
  "formula": "Pm2ReN3",
  "functional": "GGA-PBE",
  "state": "relaxed",
  "crystal_system": "orthorhombic",
  "spacegroup": "Immm, No. 71",
  "final_energy_ev_per_atom": -8.85,
  "vol_a3_per_fu": 87.2,
  "lattice_angstrom": [[3.4824, 0.0000, 0.0000], [0.0000, 3.9043, 0.0000], [0.0000, 0.0000, 12.8287]],
  "species": ["Pm", "Pm", "Pm", "Pm", "Re", "Re", "N", "N", "N", "N", "N", "N"],
  "frac_coords": [[0.0000, 0.0000, 0.1493], [0.0000, 0.0000, 0.8507], [0.5000, 0.5000, 0.3507], [0.5000, 0.5000, 0.6493], [0.0000, 0.0000, 0.5000], [0.5000, 0.5000, 0.0000], [0.0000, 0.0000, 0.3399], [0.0000, 0.0000, 0.6601], [0.0000, 0.5000, 0.5000], [0.5000, 0.0000, 0.0000], [0.5000, 0.5000, 0.1601], [0.5000, 0.5000, 0.8399]]
}

---

Record 8
{
  "formula": "BaNi2Ru",
  "functional": "GGA-PBE",
  "state": "relaxed",
  "crystal_system": "tetragonal",
  "spacegroup": "I4_1/amd, No. 141",
  "final_energy_ev_per_atom": -5.22,
  "vol_a3_per_fu": 96.2,
  "ef_ev_per_atom": 0.468,
  "e_above_lowest_polymorph_mev_per_atom": 358,
  "lattice_angstrom": [[4.9677, 0.0000, 0.0000], [0.0000, 4.9677, 0.0000], [0.0000, 0.0000, 15.5943]],
  "species": ["Ba", "Ba", "Ba", "Ba", "Ni", "Ni", "Ni", "Ni", "Ni", "Ni", "Ni", "Ni", "Ru", "Ru", "Ru", "Ru"],
  "frac_coords": [[0.0000, 0.2500, 0.3750], [0.0000, 0.7500, 0.6250], [0.5000, 0.2500, 0.1250], [0.5000, 0.7500, 0.8750], [0.0000, 0.0000, 0.0000], [0.0000, 0.5000, 0.0000], [0.2500, 0.2500, 0.7500], [0.2500, 0.7500, 0.2500], [0.5000, 0.0000, 0.5000], [0.5000, 0.5000, 0.5000], [0.7500, 0.2500, 0.7500], [0.7500, 0.7500, 0.2500], [0.0000, 0.2500, 0.8750], [0.0000, 0.7500, 0.1250], [0.5000, 0.2500, 0.6250], [0.5000, 0.7500, 0.3750]]
}

---

Record 9
{
  "formula": "Cu2SiPt",
  "functional": "GGA-PBE",
  "state": "relaxed",
  "crystal_system": "trigonal",
  "spacegroup": "R3m, No. 160",
  "final_energy_ev_per_atom": -5.02,
  "vol_a3_per_fu": 54.2,
  "lattice_angstrom": [[2.7957, 0.0000, 0.0000], [-1.3978, 2.4211, 0.0000], [0.0000, 0.0000, 24.0297]],
  "species": ["Cu", "Cu", "Cu", "Cu", "Cu", "Cu", "Si", "Si", "Si", "Pt", "Pt", "Pt"],
  "frac_coords": [[0.0000, 0.0000, 0.0000], [0.0000, 0.0000, 0.2509], [0.3333, 0.6667, 0.6667], [0.3333, 0.6667, 0.9176], [0.6667, 0.3333, 0.3333], [0.6667, 0.3333, 0.5843], [0.0000, 0.0000, 0.5064], [0.3333, 0.6667, 0.1730], [0.6667, 0.3333, 0.8397], [0.0000, 0.0000, 0.7586], [0.3333, 0.6667, 0.4253], [0.6667, 0.3333, 0.0920]]
}

---

Record 10
{
  "formula": "PmMnGe2Pt2",
  "functional": "GGA-PBE",
  "state": "relaxed",
  "crystal_system": "trigonal",
  "spacegroup": "P-3m1, No. 164",
  "final_energy_ev_per_atom": -6.64,
  "vol_a3_per_fu": 110.6,
  "ef_ev_per_atom": -0.766,
  "lattice_angstrom": [[4.3228, 0.0000, 0.0000], [-2.1614, 3.7436, 0.0000], [0.0000, 0.0000, 6.8338]],
  "species": ["Pm", "Mn", "Ge", "Ge", "Pt", "Pt"],
  "frac_coords": [[0.0000, 0.0000, 0.0000], [0.0000, 0.0000, 0.5000], [0.3333, 0.6667, 0.7181], [0.6667, 0.3333, 0.2819], [0.3333, 0.6667, 0.3192], [0.6667, 0.3333, 0.6808]]
}

---

Record 11
{
  "formula": "ScTa2Mo",
  "functional": "GGA-PBE",
  "state": "relaxed",
  "crystal_system": "orthorhombic",
  "spacegroup": "Pmmm, No. 47",
  "final_energy_ev_per_atom": -10.04,
  "vol_a3_per_fu": 72.7,
  "ef_ev_per_atom": 0.177,
  "e_above_lowest_polymorph_mev_per_atom": 120,
  "lattice_angstrom": [[3.2898, 0.0000, 0.0000], [0.0000, 4.6679, 0.0000], [0.0000, 0.0000, 4.7312]],
  "species": ["Sc", "Ta", "Ta", "Mo"],
  "frac_coords": [[0.0000, 0.0000, 0.0000], [0.0000, 0.5000, 0.5000], [0.5000, 0.0000, 0.5000], [0.5000, 0.5000, 0.0000]]
}

---

Record 12
{
  "formula": "YLuGa2",
  "functional": "GGA-PBE",
  "state": "relaxed",
  "crystal_system": "cubic",
  "spacegroup": "Fm-3m, No. 225",
  "final_energy_ev_per_atom": -4.84,
  "vol_a3_per_fu": 88.7,
  "ef_ev_per_atom": -0.575,
  "e_above_lowest_polymorph_mev_per_atom": 3,
  "lattice_angstrom": [[7.0787, 0.0000, 0.0000], [0.0000, 7.0787, 0.0000], [0.0000, 0.0000, 7.0787]],
  "species": ["Y", "Y", "Y", "Y", "Lu", "Lu", "Lu", "Lu", "Ga", "Ga", "Ga", "Ga", "Ga", "Ga", "Ga", "Ga"],
  "frac_coords": [[0.0000, 0.0000, 0.0000], [0.0000, 0.5000, 0.5000], [0.5000, 0.0000, 0.5000], [0.5000, 0.5000, 0.0000], [0.0000, 0.0000, 0.5000], [0.0000, 0.5000, 0.0000], [0.5000, 0.0000, 0.0000], [0.5000, 0.5000, 0.5000], [0.2500, 0.2500, 0.2500], [0.2500, 0.2500, 0.7500], [0.2500, 0.7500, 0.2500], [0.2500, 0.7500, 0.7500], [0.7500, 0.2500, 0.2500], [0.7500, 0.2500, 0.7500], [0.7500, 0.7500, 0.2500], [0.7500, 0.7500, 0.7500]]
}

---

Record 13
{
  "formula": "HoErMnAg",
  "functional": "GGA-PBE",
  "state": "relaxed",
  "crystal_system": "cubic",
  "spacegroup": "F-43m, No. 216",
  "final_energy_ev_per_atom": -5.31,
  "vol_a3_per_fu": 91.5,
  "ef_ev_per_atom": -0.018,
  "lattice_angstrom": [[7.1519, 0.0000, 0.0000], [0.0000, 7.1519, 0.0000], [0.0000, 0.0000, 7.1519]],
  "species": ["Ho", "Ho", "Ho", "Ho", "Er", "Er", "Er", "Er", "Mn", "Mn", "Mn", "Mn", "Ag", "Ag", "Ag", "Ag"],
  "frac_coords": [[0.0000, 0.0000, 0.0000], [0.0000, 0.5000, 0.5000], [0.5000, 0.0000, 0.5000], [0.5000, 0.5000, 0.0000], [0.0000, 0.0000, 0.5000], [0.0000, 0.5000, 0.0000], [0.5000, 0.0000, 0.0000], [0.5000, 0.5000, 0.5000], [0.2500, 0.2500, 0.7500], [0.2500, 0.7500, 0.2500], [0.7500, 0.2500, 0.2500], [0.7500, 0.7500, 0.7500], [0.2500, 0.2500, 0.2500], [0.2500, 0.7500, 0.7500], [0.7500, 0.2500, 0.7500], [0.7500, 0.7500, 0.2500]]
}